No. 1
The following is a meta-GGA SCAN calculation of a crystal of CaHBr relaxed with PBEsol, from Alexandria.

magnetization	0.00	μB/cell
E_tot	-74.167	eV for the cell shown
N(E_F)	0.0	states/eV/cell

Structure (POSCAR):
```
CaHBr
1.0
-1.375 -0.818 -3.467
-3.130 -1.498 1.595
-3.423 6.873 -0.263
Br Ca H
2 2 2
direct
0.000 0.500 0.669
0.500 0.000 0.331
0.000 0.500 0.165
0.500 0.000 0.835
0.500 0.500 0.000
0.000 0.000 0.000
```



No. 2
The following is a meta-GGA SCAN calculation of a crystal of Sc2TlH2 relaxed with PBEsol, from Alexandria.

magnetization	0.00	μB/cell
E_tot	-111.268	eV for the cell shown
N(E_F)	1.7	states/eV/cell

Structure (POSCAR):
```
Sc2TlH2
1.0
3.559 0.000 0.000
0.000 3.559 0.000
-1.779 -1.779 5.405
H Sc Tl
2 2 1
direct
0.750 0.250 0.500
0.250 0.750 0.500
0.657 0.657 0.315
0.343 0.343 0.685
0.000 0.000 0.000
```



No. 3
The following is a meta-GGA SCAN calculation of a crystal of La5Sb relaxed with PBEsol, from Alexandria.

magnetization	0.00	μB/cell
distance to the lowest polymorph of the same formula	47	meV/atom
ΔE_f (raw)	-2.172	eV per formula unit
E_tot	-254.958	eV for the cell shown
N(E_F)	6.7	states/eV/cell

Structure (POSCAR):
```
La5Sb
1.0
-2.841 2.450 -0.946
-2.282 -3.847 -3.110
-3.449 -4.112 7.616
La Sb
5 1
direct
0.773 0.500 0.546
0.463 0.500 0.927
0.332 0.000 0.664
0.647 0.000 0.294
0.003 0.000 0.005
0.116 0.500 0.231
```



No. 4
The following is a meta-GGA SCAN calculation of a crystal of TcOs2 relaxed with PBEsol, from Alexandria.

magnetization	0.00	μB/cell
distance to the lowest polymorph of the same formula	0	meV/atom
E_tot	-358.237	eV for the cell shown
N(E_F)	4.6	states/eV/cell
formation enthalpy at 0 K	-0.3	eV/f.u.

Structure (POSCAR):
```
TcOs2
1.0
-3.609 1.864 1.454
-1.669 -4.234 1.284
0.880 -1.676 4.333
Os Tc
4 2
direct
0.250 0.500 0.833
0.750 0.500 0.167
0.750 0.833 0.500
0.250 0.167 0.500
0.750 0.167 0.833
0.250 0.833 0.167
```



No. 5
The following is a meta-GGA SCAN calculation of a crystal of BeSb2Mo2 relaxed with PBEsol, from Alexandria.

magnetization	0.00	μB/cell
ΔE_f (raw)	3.407	eV per formula unit
E_tot	-145.238	eV for the cell shown
N(E_F)	2.3	states/eV/cell

Structure (POSCAR):
```
BeSb2Mo2
1.0
3.600 0.000 0.000
0.000 3.600 0.000
-1.800 -1.800 7.836
Mo Be Sb
2 1 2
direct
0.750 0.250 0.500
0.250 0.750 0.500
0.000 0.000 0.000
0.609 0.609 0.218
0.391 0.391 0.782
```



No. 6
The following is a meta-GGA SCAN calculation of a crystal of YMn2Te relaxed with PBEsol, from Alexandria.

magnetization	2.93	μB/cell
ΔE_f (raw)	0.544	eV per formula unit
E_tot	-101.060	eV for the cell shown
N(E_F)	3.1	states/eV/cell

Structure (POSCAR):
```
YMn2Te
1.0
3.755 0.000 0.000
0.000 4.195 0.000
0.000 0.000 5.078
Mn Y Te
2 1 1
direct
0.500 0.000 0.696
0.500 0.000 0.304
0.000 0.500 0.500
0.500 0.500 0.000
```



No. 7
The following is a meta-GGA SCAN calculation of a crystal of CuAgW3 relaxed with PBEsol, from Alexandria.

magnetization	0.00	μB/cell
distance to the lowest polymorph of the same formula	1276	meV/atom
E_tot	-239.065	eV for the cell shown
N(E_F)	5.8	states/eV/cell
formation enthalpy at 0 K	16.6	eV/f.u.

Structure (POSCAR):
```
CuAgW3
1.0
-2.682 1.083 -3.697
-2.894 -3.539 1.063
-2.542 2.887 2.690
W Ag Cu
3 1 1
direct
0.000 0.000 0.500
0.500 0.000 0.000
0.000 0.500 0.000
0.000 0.000 0.000
0.500 0.500 0.500
```



No. 8
The following is a meta-GGA SCAN calculation of a crystal of ScMn2Cr relaxed with PBEsol, from Alexandria.

magnetization	1.91	μB/cell
distance to the lowest polymorph of the same formula	37	meV/atom
E_tot	-68.675	eV for the cell shown
N(E_F)	3.8	states/eV/cell
formation enthalpy at 0 K	0.5	eV/f.u.

Structure (POSCAR):
```
ScMn2Cr
1.0
2.855 0.000 0.000
0.000 2.855 0.000
0.000 0.000 6.295
Sc Cr Mn
1 1 2
direct
0.000 0.000 0.497
0.500 0.500 0.796
0.000 0.000 0.002
0.500 0.500 0.205
```



No. 9
The following is a meta-GGA SCAN calculation of a crystal of BaZnSeN2 relaxed with PBEsol, from Alexandria.

magnetization	3.98	μB/cell
ΔE_f (raw)	1.747	eV per formula unit
E_tot	-89.980	eV for the cell shown
N(E_F)	1.3	states/eV/cell

Structure (POSCAR):
```
BaZnSeN2
1.0
4.376 0.000 0.000
0.000 4.376 0.000
0.000 0.000 4.906
N Ba Se Zn
2 1 1 1
direct
0.000 0.500 0.000
0.500 0.000 0.000
0.500 0.500 0.500
0.000 0.000 0.500
0.000 0.000 0.000
```



No. 10
The following is a meta-GGA SCAN calculation of a crystal of Ba4Br6O relaxed with PBEsol, from Alexandria.

magnetization	0.41	μB/cell
distance to the lowest polymorph of the same formula	129	meV/atom
ΔE_f (raw)	-27.075	eV per formula unit
E_tot	-1233.055	eV for the cell shown
N(E_F)	0.0	states/eV/cell

Structure (POSCAR):
```
Ba4Br6O
1.0
6.157 0.000 0.000
0.000 11.865 0.000
0.000 0.000 22.727
Ba Br O
16 24 4
direct
0.478 0.782 0.707
0.916 0.013 0.811
0.416 0.487 0.189
0.978 0.718 0.293
0.527 0.092 0.951
0.474 0.639 0.928
0.526 0.139 0.572
0.522 0.282 0.793
0.974 0.861 0.072
0.473 0.592 0.549
0.584 0.987 0.311
0.973 0.908 0.451
0.022 0.218 0.207
0.084 0.513 0.689
0.027 0.408 0.049
0.026 0.361 0.428
0.813 0.150 0.075
0.313 0.350 0.925
0.187 0.650 0.425
0.508 0.056 0.707
0.475 0.009 0.448
0.992 0.944 0.207
0.027 0.132 0.351
0.025 0.260 0.751
0.980 0.655 0.969
0.525 0.240 0.249
0.025 0.991 0.948
0.527 0.368 0.649
0.687 0.850 0.575
0.008 0.444 0.293
0.973 0.632 0.149
0.520 0.345 0.469
0.975 0.760 0.749
0.975 0.491 0.552
0.492 0.556 0.793
0.020 0.155 0.531
0.473 0.868 0.851
0.480 0.845 0.031
0.475 0.740 0.251
0.525 0.509 0.052
0.845 0.865 0.355
0.345 0.635 0.645
0.655 0.135 0.855
0.155 0.365 0.145
```



No. 11
The following is a meta-GGA SCAN calculation of a crystal of MgNbSN2 relaxed with PBEsol, from Alexandria.

magnetization	0.90	μB/cell
ΔE_f (raw)	4.574	eV per formula unit
E_tot	-61.740	eV for the cell shown
N(E_F)	3.2	states/eV/cell

Structure (POSCAR):
```
MgNbSN2
1.0
3.779 0.000 0.000
0.000 3.779 0.000
0.000 0.000 4.626
N Mg S Nb
2 1 1 1
direct
0.500 0.000 0.000
0.000 0.500 0.000
0.000 0.000 0.000
0.000 0.000 0.500
0.500 0.500 0.500
```



No. 12
The following is a meta-GGA SCAN calculation of a crystal of Ba2SrGa2 relaxed with PBEsol, from Alexandria.

magnetization	0.07	μB/cell
distance to the lowest polymorph of the same formula	230	meV/atom
E_tot	-134.187	eV for the cell shown
N(E_F)	4.0	states/eV/cell
formation enthalpy at 0 K	-0.1	eV/f.u.

Structure (POSCAR):
```
Ba2SrGa2
1.0
-3.839 -4.139 1.010
4.118 -3.953 -0.550
0.983 4.413 5.538
Ba Sr Ga
2 1 2
direct
0.642 0.642 0.283
0.358 0.358 0.717
0.000 0.000 0.000
0.750 0.250 0.500
0.250 0.750 0.500
```



No. 13
The following is a meta-GGA SCAN calculation of a crystal of TeIrI3 relaxed with PBEsol, from Alexandria.

magnetization	0.00	μB/cell
ΔE_f (raw)	2.652	eV per formula unit
E_tot	-215.923	eV for the cell shown
N(E_F)	4.4	states/eV/cell

Structure (POSCAR):
```
TeIrI3
1.0
-2.560 -0.941 -4.524
-4.451 -0.891 2.704
-1.245 5.122 -0.361
Te I Ir
1 3 1
direct
0.500 0.500 0.500
0.000 0.000 0.500
0.500 0.000 0.000
0.000 0.500 0.000
0.000 0.000 0.000
```



No. 14
The following is a meta-GGA SCAN calculation of a crystal of ZrCuSi4 relaxed with PBEsol, from Alexandria.

magnetization	0.00	μB/cell
ΔE_f (raw)	0.346	eV per formula unit
E_tot	-85.616	eV for the cell shown
N(E_F)	1.8	states/eV/cell

Structure (POSCAR):
```
ZrCuSi4
1.0
-0.564 4.432 -2.136
-1.470 0.306 -4.719
-4.536 1.670 -1.078
Si Cu Zr
4 1 1
direct
0.877 0.374 0.374
0.374 0.374 0.374
0.374 0.877 0.374
0.374 0.374 0.877
0.000 0.000 0.000
0.750 0.750 0.750
```



No. 15
The following is a meta-GGA SCAN calculation of a crystal of TaCu2As relaxed with PBEsol, from Alexandria.

magnetization	0.00	μB/cell
E_tot	-117.113	eV for the cell shown
N(E_F)	1.9	states/eV/cell
formation enthalpy at 0 K	0.1	eV/f.u.

Structure (POSCAR):
```
TaCu2As
1.0
-2.464 1.173 2.536
-0.498 -3.511 1.140
2.955 0.446 2.664
Cu Ta As
2 1 1
direct
0.000 0.500 0.000
0.500 0.000 0.000
0.500 0.500 0.500
0.000 0.000 0.500
```



No. 16
The following is a meta-GGA SCAN calculation of a crystal of AlReAs relaxed with PBEsol, from Alexandria.

magnetization	0.00	μB/cell
E_tot	-98.066	eV for the cell shown
N(E_F)	2.1	states/eV/cell
formation enthalpy at 0 K	1.0	eV/f.u.

Structure (POSCAR):
```
AlReAs
1.0
2.870 0.010 0.000
-1.257 2.581 0.000
-0.807 -1.295 6.396
Al As Re
1 1 1
direct
0.992 0.992 0.985
0.677 0.677 0.354
0.331 0.331 0.662
```



No. 17
The following is a meta-GGA SCAN calculation of a crystal of TaHgSCl2 relaxed with PBEsol, from Alexandria.

magnetization	3.08	μB/cell
ΔE_f (raw)	4.814	eV per formula unit
E_tot	-155.519	eV for the cell shown
N(E_F)	3.8	states/eV/cell

Structure (POSCAR):
```
TaHgSCl2
1.0
-1.542 4.705 0.004
-3.786 -1.243 2.939
2.837 0.926 4.045
Cl Ta S Hg
2 1 1 1
direct
0.500 0.000 0.000
0.000 0.500 0.000
0.500 0.500 0.500
0.000 0.000 0.500
0.000 0.000 0.000
```



No. 18
The following is a meta-GGA SCAN calculation of a crystal of SrAlSN2 relaxed with PBEsol, from Alexandria.

magnetization	4.75	μB/cell
ΔE_f (raw)	6.421	eV per formula unit
E_tot	-51.816	eV for the cell shown
N(E_F)	2.2	states/eV/cell

Structure (POSCAR):
```
SrAlSN2
1.0
4.698 0.000 0.000
0.000 4.698 0.000
0.000 0.000 5.687
Sr S N Al
1 1 2 1
direct
0.000 0.000 0.000
0.000 0.000 0.500
0.000 0.500 0.000
0.500 0.000 0.000
0.500 0.500 0.500
```



No. 19
The following is a meta-GGA SCAN calculation of a crystal of AlAuN2F relaxed with PBEsol, from Alexandria.

magnetization	0.00	μB/cell
ΔE_f (raw)	-0.467	eV per formula unit
E_tot	-99.498	eV for the cell shown
N(E_F)	2.1	states/eV/cell

Structure (POSCAR):
```
AlAuN2F
1.0
3.481 0.000 0.000
0.000 3.884 0.000
0.000 0.000 3.884
N F Au Al
2 1 1 1
direct
0.000 0.000 0.500
0.000 0.500 0.000
0.500 0.000 0.000
0.500 0.500 0.500
0.000 0.000 0.000
```



No. 20
The following is a meta-GGA SCAN calculation of a crystal of LiMg3Sb relaxed with PBEsol, from Alexandria.

magnetization	0.00	μB/cell
ΔE_f (raw)	1.525	eV per formula unit
E_tot	-53.046	eV for the cell shown
N(E_F)	2.3	states/eV/cell

Structure (POSCAR):
```
LiMg3Sb
1.0
-4.820 0.106 0.655
-0.658 -1.378 -4.620
0.085 -4.665 1.379
Mg Sb Li
3 1 1
direct
0.000 0.000 0.500
0.000 0.500 0.000
0.500 0.000 0.000
0.500 0.500 0.500
0.000 0.000 0.000
```